## Y2NiBPt6 (GGA-PBE)

Data for crystalline Y2NiBPt6 at its relaxed geometry.

a b c (Å): 5.5836 5.5836 19.6118
angles (deg): 90.00 90.00 120.00
Space group R-3m (No. 166, hexagonal axes)
Asymmetric unit:
1 Y 0.0000 0.0000 0.2065 [6 per cell]
2 Ni 0.0000 0.0000 0.5000 [3 per cell]
3 B 0.0000 0.0000 0.0000 [3 per cell]
4 Pt 0.0106 0.5053 0.2677 [18 per cell]

## Properties
- Electronic total energy: -208.35 eV for the cell shown
- Total magnetic moment: 0.00 μB per formula unit
- DFT formation energy: -0.782 eV/atom